No. 1
Compound: Ba5SrPt3
Source: Alexandria
Functional: GGA-PBE
Structure: relaxed

The value obtained for the calculated formation energy is -0.6413 eV per atom. As for the uncorrected energy: -70.38 eV per cell.

It has space group P2/m (No. 10), with a = 7.4860 Å, b = 4.6638 Å, c = 22.4734 Å, α = 90.00°, β = 90.82° and γ = 90.00°. Symmetry generates all atoms from Ba at (0.1846, 0.0000, 0.4031), Ba at (0.2170, 0.0000, 0.0640), Ba at (0.2801, 0.5000, 0.8936), Ba at (0.3032, 0.5000, 0.2356), Ba at (0.3130, 0.5000, 0.5721), Sr at (0.1988, 0.0000, 0.7331), Pt at (0.0000, 0.5000, 0.0000), Pt at (0.0084, 0.5000, 0.6691), Pt at (0.4904, 0.0000, 0.8307) and Pt at (0.5000, 0.0000, 0.5000).

---

No. 2
Compound: Ba2SrPt
Source: Alexandria
Functional: GGA-PBE
Structure: relaxed

The value obtained for the calculated formation energy is -0.5344 eV per atom. The polymorph energy (0 for the lowest one) is 0 meV/atom. As for the uncorrected energy: -54.82 eV per cell.

It has space group Pnna (No. 52), with a = 7.9329 Å, b = 7.3614 Å, c = 13.2830 Å, α = 90.00°, β = 90.00° and γ = 90.00°. Symmetry generates all atoms from Ba at (0.0788, 0.2335, 0.0797), Sr at (0.1020, 0.2500, 0.7500) and Pt at (0.2500, 0.0000, 0.9085).

---

No. 3
Compound: Ba3SrPt
Source: Alexandria
Functional: GGA-PBE
Structure: relaxed

The value obtained for the calculated formation energy is -0.4229 eV per atom. The polymorph energy (0 for the lowest one) is 0 meV/atom. As for the uncorrected energy: -62.42 eV per cell.

It has space group C2/m (No. 12), with a = 15.2963 Å, b = 9.2584 Å, c = 7.4174 Å, α = 90.00°, β = 90.05° and γ = 90.00°. Symmetry generates all atoms from Ba at (0.0859, 0.2487, 0.2268), Ba at (0.1593, 0.5000, 0.7431), Sr at (0.1557, 0.0000, 0.7532), Pt at (0.0000, 0.0000, 0.0000) and Pt at (0.0000, 0.5000, 0.0000).

---

No. 4
Compound: Ba2Sr2Pt
Source: Alexandria
Functional: GGA-PBE
Structure: relaxed

The value obtained for the calculated formation energy is -0.4322 eV per atom. The polymorph energy (0 for the lowest one) is 0 meV/atom. As for the uncorrected energy: -30.82 eV per cell.

It has space group P-1 (No. 2), with a = 4.5661 Å, b = 7.5289 Å, c = 15.1396 Å, α = 102.64°, β = 98.67° and γ = 90.01°. Symmetry generates all atoms from Ba at (0.0580, 0.2565, 0.1177), Ba at (0.3169, 0.4831, 0.6330), Sr at (0.1869, 0.0035, 0.3739), Sr at (0.4291, 0.2459, 0.8575) and Pt at (0.1237, 0.6353, 0.2483).

---

No. 5
Compound: Ba2Sr4Pt
Source: Alexandria
Functional: GGA-PBE
Structure: relaxed

The value obtained for the calculated formation energy is -0.2286 eV per atom. As for the uncorrected energy: -36.43 eV per cell.

It has space group I4/mmm (No. 139), with a = 5.9361 Å, b = 5.9361 Å, c = 21.9101 Å, α = 90.00°, β = 90.00° and γ = 90.00°. Symmetry generates all atoms from Ba at (0.0000, 0.0000, 0.1757), Sr at (0.0000, 0.0000, 0.3662), Sr at (0.0000, 0.5000, 0.0000) and Pt at (0.0000, 0.0000, 0.5000).

---

No. 6
Compound: Ba2Sr2Pt3
Source: Alexandria
Functional: GGA-PBE
Structure: relaxed

The value obtained for the calculated formation energy is -0.6674 eV per atom. As for the uncorrected energy: -60.01 eV per cell.

It has space group C2/m (No. 12), with a = 16.2673 Å, b = 4.8808 Å, c = 6.0128 Å, α = 90.00°, β = 106.61° and γ = 90.00°. Symmetry generates all atoms from Ba at (0.1408, 0.0000, 0.0632), Sr at (0.1129, 0.5000, 0.5344), Pt at (0.0000, 0.5000, 0.0000) and Pt at (0.2295, 0.0000, 0.6366).

---

No. 7
Compound: Ba2SrPt9
Source: Alexandria
Functional: GGA-PBE
Structure: relaxed

The value obtained for the calculated formation energy is -0.6297 eV per atom. As for the uncorrected energy: -202.35 eV per cell.

It has space group R-3m (No. 166, hexagonal axes), with a = 5.6082 Å, b = 5.6082 Å, c = 27.2043 Å, α = 90.00°, β = 90.00° and γ = 120.00°. Symmetry generates all atoms from Ba at (0.0000, 0.0000, 0.1405), Sr at (0.0000, 0.0000, 0.0000), Pt at (0.0000, 0.0000, 0.3322), Pt at (0.0000, 0.0000, 0.5000) and Pt at (0.0007, 0.5003, 0.9199).

---

No. 8
Compound: BaSrPt2
Source: Alexandria
Functional: GGA-PBE
Structure: relaxed

The value obtained for the calculated formation energy is -0.6205 eV per atom. The polymorph energy (0 for the lowest one) is 129 meV/atom. As for the uncorrected energy: -54.50 eV per cell.

It has space group R-3m (No. 166, hexagonal axes), with a = 4.4793 Å, b = 4.4793 Å, c = 21.6590 Å, α = 90.00°, β = 90.00° and γ = 120.00°. Symmetry generates all atoms from Ba at (0.0000, 0.0000, 0.0000), Sr at (0.0000, 0.0000, 0.5000) and Pt at (0.0000, 0.0000, 0.2455).

---

No. 9
Compound: BaSrPt2
Source: Alexandria
Functional: GGA-PBE
Structure: relaxed

The value obtained for the calculated formation energy is -0.4960 eV per atom. The polymorph energy (0 for the lowest one) is 254 meV/atom. As for the uncorrected energy: -35.34 eV per cell.

It has space group I-4m2 (No. 119), with a = 4.4397 Å, b = 4.4397 Å, c = 10.8903 Å, α = 90.00°, β = 90.00° and γ = 90.00°. Symmetry generates all atoms from Ba at (0.0000, 0.0000, 0.0000), Sr at (0.0000, 0.5000, 0.2500), Pt at (0.0000, 0.0000, 0.5000) and Pt at (0.0000, 0.5000, 0.7500).

---

No. 10
Compound: Ba2SrPt
Source: Alexandria
Functional: GGA-PBE
Structure: relaxed

The value obtained for the calculated formation energy is -0.3763 eV per atom. The polymorph energy (0 for the lowest one) is 158 meV/atom. As for the uncorrected energy: -13.07 eV per cell.

It has space group P4mm (No. 99), with a = 3.9528 Å, b = 3.9528 Å, c = 10.8549 Å, α = 90.00°, β = 90.00° and γ = 90.00°. Symmetry generates all atoms from Ba at (0.0000, 0.0000, 0.0000), Ba at (0.5000, 0.5000, 0.3499), Sr at (0.5000, 0.5000, 0.6747) and Pt at (0.0000, 0.0000, 0.5200).

---

No. 11
Compound: BaSr2Pt
Source: Alexandria
Functional: GGA-PBE
Structure: relaxed

The value obtained for the calculated formation energy is -0.5249 eV per atom. The polymorph energy (0 for the lowest one) is 0 meV/atom. As for the uncorrected energy: -53.71 eV per cell.

It has space group Cc (No. 9), with a = 13.0868 Å, b = 7.6041 Å, c = 8.5120 Å, α = 90.00°, β = 121.61° and γ = 90.00°. Symmetry generates all atoms from Ba at (0.0000, 0.0835, 0.0000), Sr at (0.1713, 0.4014, 0.5059), Sr at (0.3460, 0.0773, 0.0032) and Pt at (0.4193, 0.2422, 0.7530).

---

No. 12
Compound: BaSr2Pt
Source: Alexandria
Functional: GGA-PBE
Structure: relaxed

The value obtained for the calculated formation energy is -0.4660 eV per atom. The polymorph energy (0 for the lowest one) is 59 meV/atom. As for the uncorrected energy: -26.38 eV per cell.

It has space group Cmmm (No. 65), with a = 6.4585 Å, b = 13.0926 Å, c = 4.4362 Å, α = 90.00°, β = 90.00° and γ = 90.00°. Symmetry generates all atoms from Ba at (0.0000, 0.0000, 0.0000), Sr at (0.0000, 0.3469, 0.5000) and Pt at (0.0000, 0.5000, 0.0000).